Computed, not measured: an optimized crystal structure of ZrRhS2Cl at the GGA-PBEsol level of DFT.

Cell: 4.8159 4.9079 4.9079 Å, 90.00 90.00 90.00°
With the nearest neighbours (Å) after each atom.
Positions (direct):
Cl (0.5000, 0.0000, 0.0000)  2 Zr 2.41
Zr (0.0000, 0.0000, 0.0000)  2 Cl 2.41, 4 S 2.45
S (0.0000, 0.5000, 0.0000)  2 Zr 2.45
Rh (0.5000, 0.5000, 0.5000)  8 S 3.44, 4 Cl 3.47
S (0.0000, 0.0000, 0.5000)  2 Zr 2.45

Computed properties:
Formation energy without anion corrections = -0.061 eV/atom